# ZrTi2NbB (PBE, optimized geometry)
# Energy of formation from the pure elements = 10.77 eV/f.u.
# E = -30.316 eV/cell
data_ZrTi2NbB
_symmetry_space_group_name_H-M 'P 4/m m m'
_symmetry_Int_Tables_number 123
_symmetry_space_group_name_Hall '-P 4 2'
_cell_length_a 4.6970
_cell_length_b 4.6970
_cell_length_c 4.8910
_cell_angle_alpha 90.00
_cell_angle_beta 90.00
_cell_angle_gamma 90.00
loop_
_atom_site_label
_atom_site_type_symbol
_atom_site_fract_x
_atom_site_fract_y
_atom_site_fract_z
_atom_site_occupancy
Zr1 Zr 0.0000 0.0000 0.0000 1
Ti1 Ti 0.0000 0.5000 0.0000 1
Nb1 Nb 0.0000 0.0000 0.5000 1
B1 B 0.5000 0.5000 0.5000 1



# ZnAg2TeO4 (PBE, optimized geometry)
# Formation energy from raw total energies = -0.7080 eV per atom
# E = -71.230 eV/cell
data_ZnAg2TeO4
_symmetry_space_group_name_H-M 'C 1 2 1'
_symmetry_Int_Tables_number 5
_cell_length_a 7.4039
_cell_length_b 7.0665
_cell_length_c 5.3864
_cell_angle_alpha 90.00
_cell_angle_beta 125.64
_cell_angle_gamma 90.00
loop_
_symmetry_equiv_pos_as_xyz
'x,y,z'
'-x,y,-z'
'x+1/2,y+1/2,z'
'-x+1/2,y+1/2,-z'
loop_
_atom_site_label
_atom_site_type_symbol
_atom_site_fract_x
_atom_site_fract_y
_atom_site_fract_z
_atom_site_occupancy
Zn1 Zn 0.0000 0.0000 0.0000 1
Ag1 Ag 0.0000 0.5306 0.0000 1
Ag2 Ag 0.0000 0.7594 0.5000 1
Te1 Te 0.0000 0.3043 0.5000 1
O1 O 0.1497 0.1222 0.4112 1
O2 O 0.2287 0.8181 0.0437 1